(1)
Material: Mn2OsRh
Method: DFT, PBE-GGA
State: relaxed

Structure (POSCAR):
```
Mn2OsRh
1.0
3.753 0.000 0.000
0.000 3.753 0.000
0.000 0.000 3.620
Mn Os Rh
2 1 1
Direct
0.000 0.500 0.000
0.500 0.000 0.000
0.000 0.000 0.500
0.500 0.500 0.500
```

## Properties
Total DFT energy (no corrections) ... -9.19 eV per atom
V ... 51.0 Å³ per cell

(2)
Material: MnOsRh6
Method: DFT, PBE-GGA
State: relaxed

Structure (POSCAR):
```
MnOsRh6
1.0
4.890 0.000 0.000
-0.336 4.890 0.000
-0.330 -0.344 4.879
Mn Os Rh
1 1 6
Direct
0.000 0.000 0.000
0.500 0.500 0.500
0.029 0.458 0.749
0.251 0.969 0.544
0.458 0.749 0.029
0.542 0.251 0.971
0.749 0.031 0.456
0.971 0.542 0.251
```

## Properties
E above lowest polymorph ... 0.208 eV/atom
V ... 116.7 Å³ per cell

(3)
Material: MnOsRh
Method: DFT, PBE-GGA
State: relaxed

Structure (POSCAR):
```
MnOsRh
1.0
-1.339 1.867 4.045
1.339 -1.867 4.045
1.339 1.867 -4.045
Mn Os Rh
1 1 1
Direct
0.000 0.000 0.000
0.654 0.654 0.000
0.329 0.329 0.000
```

## Properties
E above lowest polymorph ... 0.075 eV/atom
V ... 40.4 Å³ per cell